No. 1
Crystalline PmBeGe at its relaxed geometry. Source: Alexandria via LeMat-Bulk, functional PBE-GGA.

Cell lengths 4.090, 4.090, 7.861 Å; angles 90.00, 90.00, 90.00 degrees
Space group I4mm (No. 107)
Symmetry-distinct sites (fractional):
Pm 0.000 0.000 0.000 [2 per cell]
Be 0.000 0.000 0.360 [2 per cell]
Ge 0.000 0.000 0.639 [2 per cell]

Calculated values
total moment = 0.0 μB/f.u.
energy above the most stable polymorph in this dataset = 2.19 eV per formula unit
energy of formation from the pure elements = 0.07 eV per atom


No. 2
Crystalline PaInAu2 at its relaxed geometry. Source: Alexandria via LeMat-Bulk, functional PBE-GGA.

Cell lengths 3.331, 3.331, 7.848 Å; angles 90.00, 90.00, 90.00 degrees
Space group P4/mmm (No. 123)
Symmetry-distinct sites (fractional):
Pa 0.000 0.000 0.000 [1 per cell]
In 0.000 0.000 0.500 [1 per cell]
Au 0.500 0.500 0.254 [2 per cell]

Calculated values
total moment = 0.6 μB/f.u.
energy of formation from the pure elements = -0.28 eV per atom


No. 3
Crystalline ZrFeSeBr2 at its relaxed geometry. Source: Alexandria via LeMat-Bulk, functional PBE-GGA.

Cell lengths 5.394, 5.394, 5.193 Å; angles 90.00, 90.00, 90.00 degrees
Space group P4/mmm (No. 123)
Symmetry-distinct sites (fractional):
Zr 0.000 0.000 0.000 [1 per cell]
Fe 0.500 0.500 0.500 [1 per cell]
Se 0.000 0.000 0.500 [1 per cell]
Br 0.000 0.500 0.000 [2 per cell]

Calculated values
total moment = 4.6 μB/f.u.
formation energy (no corrections) = -0.181 eV/f.u.
energy above the most stable polymorph in this dataset = 0.00 eV per formula unit


No. 4
Crystalline CoTcSb2Te at its relaxed geometry. Source: Alexandria via LeMat-Bulk, functional PBE-GGA.

Cell lengths 5.102, 5.102, 5.278 Å; angles 90.00, 90.00, 90.00 degrees
Space group P4/mmm (No. 123)
Symmetry-distinct sites (fractional):
Co 0.000 0.000 0.000 [1 per cell]
Tc 0.500 0.500 0.500 [1 per cell]
Sb 0.000 0.500 0.500 [2 per cell]
Te 0.500 0.500 0.000 [1 per cell]

Calculated values
total moment = 1.6 μB/f.u.
formation energy (no corrections) = 5.118 eV/f.u.
energy above the most stable polymorph in this dataset = 1.51 eV per formula unit


No. 5
Crystalline BeAlAg2 at its relaxed geometry. Source: Alexandria via LeMat-Bulk, functional PBE-GGA.

Cell lengths 3.807, 3.807, 8.230 Å; angles 90.00, 90.00, 90.00 degrees
Space group I-4m2 (No. 119)
Symmetry-distinct sites (fractional):
Be 0.000 0.000 0.000 [2 per cell]
Al 0.000 0.500 0.250 [2 per cell]
Ag 0.000 0.000 0.500 [2 per cell]
Ag 0.000 0.500 0.750 [2 per cell]

Calculated values
total moment = 0.0 μB/f.u.
energy above the most stable polymorph in this dataset = 0.26 eV per formula unit
energy of formation from the pure elements = 0.13 eV per atom


No. 6
Crystalline La12Pm7Ho at its relaxed geometry. Source: Alexandria via LeMat-Bulk, functional PBE-GGA.

Cell lengths 19.7414, 19.7414, 6.4370 Å; angles 90.00, 90.00, 120.00 degrees
Space group R-3m (No. 166, hexagonal axes)
Symmetry-distinct sites (fractional):
La 0.0000 0.4075 0.0000 [18 per cell]
La 0.0965 0.5483 0.4783 [18 per cell]
Pm 0.0000 0.0000 0.0000 [3 per cell]
Pm 0.0838 0.1675 0.3009 [18 per cell]
Ho 0.0000 0.0000 0.5000 [3 per cell]

Calculated values
total moment = 0.0 μB/f.u.
energy above the most stable polymorph in this dataset = 0.00 eV per formula unit
energy of formation from the pure elements = 0.17 eV per atom


No. 7
Crystalline HgMo2W at its relaxed geometry. Source: Alexandria via LeMat-Bulk, functional PBE-GGA.

Cell lengths 2.8395, 2.8395, 29.6569 Å; angles 90.00, 90.00, 120.00 degrees
Space group R3m (No. 160, hexagonal axes)
Symmetry-distinct sites (fractional):
Hg 0.0000 0.0000 0.0000 [3 per cell]
Mo 0.0000 0.0000 0.2469 [3 per cell]
Mo 0.0000 0.0000 0.5007 [3 per cell]
W 0.0000 0.0000 0.7538 [3 per cell]

Calculated values
total moment = 0.0 μB/f.u.
energy of formation from the pure elements = 0.59 eV per atom


No. 8
Crystalline ScCoTeN2 at its relaxed geometry. Source: Alexandria via LeMat-Bulk, functional PBE-GGA.

Cell lengths 4.010, 4.010, 6.175 Å; angles 90.00, 90.00, 90.00 degrees
Space group P4/mmm (No. 123)
Symmetry-distinct sites (fractional):
Sc 0.000 0.000 0.000 [1 per cell]
Co 0.500 0.500 0.500 [1 per cell]
Te 0.000 0.000 0.500 [1 per cell]
N 0.000 0.500 0.000 [2 per cell]

Calculated values
total moment = 3.0 μB/f.u.
formation energy (no corrections) = 4.889 eV/f.u.
energy above the most stable polymorph in this dataset = 1.73 eV per formula unit


No. 9
Crystalline TaCuAg2 at its relaxed geometry. Source: Alexandria via LeMat-Bulk, functional PBE-GGA.

Cell lengths 2.771, 4.863, 5.005 Å; angles 90.00, 90.00, 90.00 degrees
Space group Pmmm (No. 47)
Symmetry-distinct sites (fractional):
Ta 0.000 0.000 0.000 [1 per cell]
Cu 0.500 0.500 0.000 [1 per cell]
Ag 0.000 0.500 0.500 [1 per cell]
Ag 0.500 0.000 0.500 [1 per cell]

Calculated values
total moment = 0.0 μB/f.u.
energy above the most stable polymorph in this dataset = 0.85 eV per formula unit
energy of formation from the pure elements = 0.38 eV per atom


No. 10
Crystalline Pr4Sn2N at its relaxed geometry. Source: Alexandria via LeMat-Bulk, functional PBE-GGA.

Cell lengths 4.955, 4.955, 16.707 Å; angles 90.00, 90.00, 90.00 degrees
Space group I4/mmm (No. 139)
Symmetry-distinct sites (fractional):
Pr 0.000 0.000 0.162 [4 per cell]
Pr 0.000 0.500 0.000 [4 per cell]
Sn 0.000 0.000 0.359 [4 per cell]
N 0.000 0.000 0.000 [2 per cell]

Calculated values
total moment = 0.0 μB/f.u.
formation energy (no corrections) = -5.934 eV/f.u.
energy above the most stable polymorph in this dataset = 0.00 eV per formula unit


No. 11
Crystalline Ba2Ga3GePt4 at its relaxed geometry. Source: Alexandria via LeMat-Bulk, functional PBE-GGA.

Cell lengths 4.585, 4.585, 10.239 Å; angles 90.00, 90.00, 90.00 degrees
Space group P-4m2 (No. 115)
Symmetry-distinct sites (fractional):
Ba 0.000 0.500 0.248 [2 per cell]
Ga 0.000 0.500 0.879 [2 per cell]
Ga 0.500 0.500 0.500 [1 per cell]
Ge 0.000 0.000 0.500 [1 per cell]
Pt 0.000 0.000 0.000 [1 per cell]
Pt 0.000 0.500 0.620 [2 per cell]
Pt 0.500 0.500 0.000 [1 per cell]

Calculated values
total moment = 0.0 μB/f.u.
energy of formation from the pure elements = -0.79 eV per atom


No. 12
Crystalline Pm12Pr3Tm at its relaxed geometry. Source: Alexandria via LeMat-Bulk, functional PBE-GGA.

Cell lengths 5.165, 5.165, 20.629 Å; angles 90.00, 90.00, 90.00 degrees
Space group P4/mmm (No. 123)
Symmetry-distinct sites (fractional):
Pm 0.000 0.000 0.000 [1 per cell]
Pm 0.000 0.000 0.248 [2 per cell]
Pm 0.000 0.000 0.500 [1 per cell]
Pm 0.000 0.500 0.122 [4 per cell]
Pm 0.000 0.500 0.374 [4 per cell]
Pr 0.500 0.500 0.248 [2 per cell]
Pr 0.500 0.500 0.500 [1 per cell]
Tm 0.500 0.500 0.000 [1 per cell]

Calculated values
total moment = 0.0 μB/f.u.
energy of formation from the pure elements = 0.01 eV per atom